! AgPS2N, optimized geometry, DFT GGA-PBE; values from VASP
&SYSTEM
  ibrav = 0, nat = 5, ntyp = 4
/
ATOMIC_SPECIES
S 32.06 S.upf
Ag 107.87 Ag.upf
N 14.01 N.upf
P 30.97 P.upf
CELL_PARAMETERS angstrom
4.9287 0.0000 0.0000
0.0000 4.9287 0.0000
0.0000 0.0000 3.9212
ATOMIC_POSITIONS angstrom
S 0.0000 2.4644 0.0000
Ag 0.0000 0.0000 0.0000
S 2.4644 0.0000 0.0000
N 0.0000 0.0000 1.9606
P 2.4644 2.4644 1.9606
! calculated volume	19.05	Å³ per atom
! uncorrected formation energy	8.08	eV/f.u.
! spin magnetization	1.859	μB/cell
! ΔE to the lowest computed polymorph	5.24	eV/f.u.